# 1
First-principles (PBE) data for a geometry-optimized NaMg8Rh2 structure, as listed in Alexandria via LeMat-Bulk.

Results
- ΔH_f (0 K): -1.75 eV per formula unit
- V: 246.80 Å³/cell

Geometry as POSCAR:
```
NaMg8Rh2
1.0
4.103 -6.044 0.000
4.103 6.044 0.000
-1.136 0.000 4.976
Na Mg Rh
1 8 2
direct
0.000 0.000 0.000 Na
0.062 0.335 0.578 Mg
0.265 0.735 0.000 Mg
0.335 0.062 0.578 Mg
0.405 0.405 0.223 Mg
0.595 0.595 0.777 Mg
0.665 0.938 0.422 Mg
0.735 0.265 0.000 Mg
0.938 0.665 0.422 Mg
0.313 0.687 0.500 Rh
0.687 0.313 0.500 Rh
```

=====

# 2
First-principles (PBE) data for a geometry-optimized Eu2HoCl structure, as listed in Alexandria via LeMat-Bulk.

Results
- E_form (uncorrected): -0.7573 eV/atom
- V: 390.08 Å³/cell

Geometry as POSCAR:
```
Eu2HoCl
1.0
3.799 0.000 0.000
-1.899 3.290 0.000
0.000 0.000 31.214
Eu Ho Cl
6 3 3
direct
0.000 0.000 0.237 Eu
0.000 0.000 0.763 Eu
0.333 0.667 0.430 Eu
0.333 0.667 0.904 Eu
0.667 0.333 0.096 Eu
0.667 0.333 0.570 Eu
0.000 0.000 0.000 Ho
0.333 0.667 0.667 Ho
0.667 0.333 0.333 Ho
0.000 0.000 0.500 Cl
0.333 0.667 0.167 Cl
0.667 0.333 0.833 Cl
```

=====

# 3
First-principles (PBE) data for a geometry-optimized MgMn2Si structure, as listed in Alexandria via LeMat-Bulk.

Results
- E_form (uncorrected): -0.0156 eV/atom
- V: 106.60 Å³/cell

Geometry as POSCAR:
```
MgMn2Si
1.0
3.899 0.000 0.000
0.000 3.899 0.000
0.000 0.000 7.011
Mg Mn Si
2 4 2
direct
0.000 0.000 0.000 Mg
0.500 0.500 0.500 Mg
0.000 0.500 0.250 Mn
0.000 0.500 0.750 Mn
0.500 0.000 0.250 Mn
0.500 0.000 0.750 Mn
0.000 0.000 0.500 Si
0.500 0.500 0.000 Si
```

=====

# 4
First-principles (PBE) data for a geometry-optimized LaPrY3 structure, as listed in Alexandria via LeMat-Bulk.

Results
- Polymorph energy (0 for the lowest one): 0.1914 eV per atom
- ΔH_f (0 K): 1.03 eV per formula unit
- V: 344.18 Å³/cell

Geometry as POSCAR:
```
LaPrY3
1.0
-2.976 3.470 8.332
2.976 -3.470 8.332
2.976 3.470 -8.332
La Pr Y
2 2 6
direct
0.500 0.000 0.000 La
0.500 0.500 0.500 La
0.050 0.300 0.750 Pr
0.950 0.700 0.250 Pr
0.083 0.096 0.987 Y
0.270 0.520 0.750 Y
0.391 0.904 0.487 Y
0.609 0.096 0.513 Y
0.730 0.480 0.250 Y
0.917 0.904 0.013 Y
```

=====

# 5
First-principles (PBE) data for a geometry-optimized YU2P3 structure, as listed in Alexandria via LeMat-Bulk.

Results
- ΔH_f (0 K): -7.07 eV per formula unit
- V: 525.68 Å³/cell

Geometry as POSCAR:
```
YU2P3
1.0
7.901 0.000 0.000
0.000 5.592 0.000
0.000 0.000 11.897
Y U P
4 8 12
direct
0.124 0.250 0.082 Y
0.376 0.750 0.582 Y
0.624 0.250 0.418 Y
0.876 0.750 0.918 Y
0.123 0.250 0.416 U
0.125 0.250 0.752 U
0.375 0.750 0.252 U
0.377 0.750 0.916 U
0.623 0.250 0.084 U
0.625 0.250 0.748 U
0.875 0.750 0.248 U
0.877 0.750 0.584 U
0.123 0.750 0.415 P
0.126 0.750 0.751 P
0.130 0.750 0.085 P
0.370 0.250 0.585 P
0.374 0.250 0.251 P
0.377 0.250 0.915 P
0.623 0.750 0.085 P
0.626 0.750 0.749 P
0.630 0.750 0.415 P
0.870 0.250 0.915 P
0.874 0.250 0.249 P
0.877 0.250 0.585 P
```

=====

# 6
First-principles (PBE) data for a geometry-optimized BaIr2Rh structure, as listed in Alexandria via LeMat-Bulk.

Results
- Polymorph energy (0 for the lowest one): 0.7723 eV per atom
- ΔH_f (0 K): 2.96 eV per formula unit
- V: 152.58 Å³/cell

Geometry as POSCAR:
```
BaIr2Rh
1.0
5.577 0.000 0.000
0.000 10.555 0.000
-1.405 0.000 2.592
Ba Ir Rh
2 4 2
direct
0.000 0.000 0.000 Ba
0.500 0.500 0.000 Ba
0.250 0.250 0.500 Ir
0.250 0.750 0.500 Ir
0.750 0.250 0.500 Ir
0.750 0.750 0.500 Ir
0.000 0.500 0.000 Rh
0.500 0.000 0.000 Rh
```

=====

# 7
First-principles (PBE) data for a geometry-optimized ThUBiSb structure, as listed in Alexandria via LeMat-Bulk.

Results
- E_form (uncorrected): -0.2895 eV/atom
- V: 458.33 Å³/cell

Geometry as POSCAR:
```
ThUBiSb
1.0
7.710 0.000 0.000
0.000 7.710 0.000
0.000 0.000 7.710
Th U Bi Sb
4 4 4 4
direct
0.000 0.000 0.000 Th
0.000 0.500 0.500 Th
0.500 0.000 0.500 Th
0.500 0.500 0.000 Th
0.000 0.000 0.500 U
0.000 0.500 0.000 U
0.500 0.000 0.000 U
0.500 0.500 0.500 U
0.250 0.250 0.750 Bi
0.250 0.750 0.250 Bi
0.750 0.250 0.250 Bi
0.750 0.750 0.750 Bi
0.250 0.250 0.250 Sb
0.250 0.750 0.750 Sb
0.750 0.250 0.750 Sb
0.750 0.750 0.250 Sb
```

=====

# 8
First-principles (PBE) data for a geometry-optimized NaCa2Cd structure, as listed in Alexandria via LeMat-Bulk.

Results
- ΔH_f (0 K): 0.26 eV per formula unit
- V: 577.10 Å³/cell

Geometry as POSCAR:
```
NaCa2Cd
1.0
8.979 0.000 0.000
0.000 8.979 0.000
0.000 0.000 7.158
Na Ca Cd
4 8 4
direct
0.000 0.000 0.000 Na
0.000 0.500 0.250 Na
0.500 0.000 0.750 Na
0.500 0.500 0.500 Na
0.220 0.250 0.625 Ca
0.250 0.720 0.875 Ca
0.250 0.780 0.375 Ca
0.280 0.250 0.125 Ca
0.720 0.750 0.125 Ca
0.750 0.220 0.375 Ca
0.750 0.280 0.875 Ca
0.780 0.750 0.625 Ca
0.000 0.000 0.500 Cd
0.000 0.500 0.750 Cd
0.500 0.000 0.250 Cd
0.500 0.500 0.000 Cd
```

=====

# 9
First-principles (PBE) data for a geometry-optimized Y5PtAu4 structure, as listed in Alexandria via LeMat-Bulk.

Results
- ΔH_f (0 K): -9.31 eV per formula unit
- V: 230.89 Å³/cell

Geometry as POSCAR:
```
Y5PtAu4
1.0
3.571 0.000 0.000
0.000 3.571 0.000
0.000 0.000 18.102
Y Pt Au
5 1 4
direct
0.000 0.000 0.000 Y
0.000 0.000 0.203 Y
0.000 0.000 0.406 Y
0.000 0.000 0.594 Y
0.000 0.000 0.797 Y
0.500 0.500 0.500 Pt
0.500 0.500 0.101 Au
0.500 0.500 0.302 Au
0.500 0.500 0.698 Au
0.500 0.500 0.899 Au
```

=====

# 10
First-principles (PBE) data for a geometry-optimized Zr2MnCl structure, as listed in Alexandria via LeMat-Bulk.

Results
- Polymorph energy (0 for the lowest one): 1.0621 eV per atom
- E_form (uncorrected): 0.5526 eV/atom
- V: 323.83 Å³/cell

Geometry as POSCAR:
```
Zr2MnCl
1.0
6.867 0.000 0.000
0.000 6.867 0.000
0.000 0.000 6.867
Zr Mn Cl
8 4 4
direct
0.000 0.000 0.000 Zr
0.000 0.500 0.500 Zr
0.250 0.250 0.250 Zr
0.250 0.750 0.750 Zr
0.500 0.000 0.500 Zr
0.500 0.500 0.000 Zr
0.750 0.250 0.750 Zr
0.750 0.750 0.250 Zr
0.000 0.000 0.500 Mn
0.000 0.500 0.000 Mn
0.500 0.000 0.000 Mn
0.500 0.500 0.500 Mn
0.250 0.250 0.750 Cl
0.250 0.750 0.250 Cl
0.750 0.250 0.250 Cl
0.750 0.750 0.750 Cl
```

=====

# 11
First-principles (PBE) data for a geometry-optimized Sm2RhPb structure, as listed in Alexandria via LeMat-Bulk.

Results
- Polymorph energy (0 for the lowest one): 0.0985 eV per atom
- ΔH_f (0 K): -2.11 eV per formula unit
- V: 342.53 Å³/cell

Geometry as POSCAR:
```
Sm2RhPb
1.0
3.903 0.000 0.000
-1.951 3.380 0.000
0.000 0.000 25.969
Sm Rh Pb
6 3 3
direct
0.000 0.000 0.232 Sm
0.000 0.000 0.768 Sm
0.333 0.667 0.435 Sm
0.333 0.667 0.898 Sm
0.667 0.333 0.102 Sm
0.667 0.333 0.565 Sm
0.000 0.000 0.500 Rh
0.333 0.667 0.167 Rh
0.667 0.333 0.833 Rh
0.000 0.000 0.000 Pb
0.333 0.667 0.667 Pb
0.667 0.333 0.333 Pb
```

=====

# 12
First-principles (PBE) data for a geometry-optimized RbTb2Cl7 structure, as listed in Alexandria via LeMat-Bulk.

Results
- Polymorph energy (0 for the lowest one): 0.0000 eV per atom
- E_form (uncorrected): -2.2637 eV/atom
- V: 1233.83 Å³/cell

Geometry as POSCAR:
```
RbTb2Cl7
1.0
13.768 0.000 0.000
0.000 7.019 0.000
0.000 0.000 12.766
Rb Tb Cl
4 8 28
direct
0.034 0.250 0.198 Rb
0.466 0.750 0.698 Rb
0.534 0.250 0.302 Rb
0.966 0.750 0.802 Rb
0.239 0.250 0.540 Tb
0.246 0.250 0.843 Tb
0.254 0.750 0.343 Tb
0.261 0.750 0.040 Tb
0.739 0.250 0.960 Tb
0.746 0.250 0.657 Tb
0.754 0.750 0.157 Tb
0.761 0.750 0.460 Tb
0.114 0.750 0.190 Cl
0.128 0.011 0.422 Cl
0.128 0.489 0.422 Cl
0.133 0.010 0.961 Cl
0.133 0.490 0.961 Cl
0.174 0.010 0.693 Cl
0.174 0.490 0.693 Cl
0.326 0.510 0.193 Cl
0.326 0.990 0.193 Cl
0.367 0.510 0.461 Cl
0.367 0.990 0.461 Cl
0.372 0.511 0.922 Cl
0.372 0.989 0.922 Cl
0.386 0.250 0.690 Cl
0.614 0.750 0.310 Cl
0.628 0.011 0.078 Cl
0.628 0.489 0.078 Cl
0.633 0.010 0.539 Cl
0.633 0.490 0.539 Cl
0.674 0.010 0.807 Cl
0.674 0.490 0.807 Cl
0.826 0.510 0.307 Cl
0.826 0.990 0.307 Cl
0.867 0.510 0.039 Cl
0.867 0.990 0.039 Cl
0.872 0.511 0.578 Cl
0.872 0.989 0.578 Cl
0.886 0.250 0.810 Cl
```